The following is a PBE calculation of a geometry-optimized YCoCu structure, from Alexandria.

Output
Calculated formation energy, meV per atom: 203
ρ, Mg/m³: 6.2
Total magnetization, μB/atom: 0.152
DOS(E_F), states/eV/cell: 5.02

a = 4.3152 Å, b = 4.3152 Å, c = 4.3152 Å
α = 60.00°, β = 60.00°, γ = 60.00°
Element x y z (fractional)
Co: 0.7500 0.7500 0.7500
Cu: 0.0000 0.0000 0.0000
Y: 0.5000 0.5000 0.5000

The following is a PBE calculation of a geometry-optimized InGaSiF6 structure, from Alexandria.

Output
ρ, Mg/m³: 3.7
Formation energy without anion corrections, meV per atom: -2507
Total magnetization, μB/atom: 0.000
DOS(E_F), states/eV/cell: 0.00

a = 5.7639 Å, b = 5.7588 Å, c = 5.1174 Å
α = 90.15°, β = 89.91°, γ = 59.42°
Element x y z (fractional)
In: 0.0000 0.9996 0.9278
Ga: 0.6676 0.6670 0.3835
Si: 0.3332 0.3335 0.5256
F: 0.1909 0.1901 0.3389
F: 0.4782 0.0491 0.7203
F: 0.4756 0.4768 0.7162
F: 0.0481 0.4798 0.7208
F: 0.1888 0.6167 0.3336
F: 0.6174 0.1875 0.3332

The following is a PBE calculation of a geometry-optimized MnZn2Bi2 structure, from Alexandria.

Output
Calculated formation energy, meV per atom: 309
ρ, Mg/m³: 8.9
Total magnetization, μB/atom: 0.788
DOS(E_F), states/eV/cell: 7.38

a = 7.1658 Å, b = 7.1658 Å, c = 4.3629 Å
α = 90.00°, β = 90.00°, γ = 90.00°
Element x y z (fractional)
Zn: 0.3690 0.8690 0.0000
Zn: 0.8690 0.6310 0.0000
Zn: 0.6310 0.1310 0.0000
Zn: 0.1310 0.3690 0.0000
Mn: 0.0000 0.0000 0.0000
Mn: 0.5000 0.5000 0.0000
Bi: 0.1753 0.6753 0.5000
Bi: 0.6753 0.8247 0.5000
Bi: 0.8247 0.3247 0.5000
Bi: 0.3247 0.1753 0.5000

The following is a PBE calculation of a geometry-optimized MgAg2 structure, from Alexandria.

Output
Calculated formation energy, meV per atom: -134
ρ, Mg/m³: 7.3
Energy above the most stable polymorph in this dataset, meV per atom: 43
Total magnetization, μB/atom: 0.000
DOS(E_F), states/eV/cell: 3.93

a = 7.9324 Å, b = 7.9324 Å, c = 2.9931 Å
α = 90.00°, β = 90.00°, γ = 120.01°
Element x y z (fractional)
Ag: 0.3052 0.0000 0.5000
Ag: 0.0000 0.3052 0.5000
Ag: 0.6948 0.6948 0.5000
Ag: 0.6393 0.0000 0.0000
Ag: 0.0000 0.6393 0.0000
Ag: 0.3607 0.3607 0.0000
Mg: 0.0000 0.0000 0.0000
Mg: 0.3333 0.6666 0.5000
Mg: 0.6666 0.3333 0.5000

The following is a PBE calculation of a geometry-optimized GeCl3 structure, from Alexandria.

Output
ρ, Mg/m³: 3.5
Formation energy without anion corrections, meV per atom: 11
Energy above the most stable polymorph in this dataset, meV per atom: 228
Total magnetization, μB/atom: 0.249
DOS(E_F), states/eV/cell: 4.76

a = 4.9348 Å, b = 4.9348 Å, c = 4.9348 Å
α = 60.00°, β = 60.00°, γ = 60.00°
Element x y z (fractional)
Ge: 0.5000 0.5000 0.5000
Cl: 0.2500 0.2500 0.2500
Cl: 0.7500 0.7500 0.7500
Cl: 0.0000 0.0000 0.0000

The following is a PBE calculation of a geometry-optimized Hg3TeI5 structure, from Alexandria.

Output
ρ, Mg/m³: 4.8
Formation energy without anion corrections, meV per atom: -186
Total magnetization, μB/atom: 0.000

a = 11.7938 Å, b = 9.3495 Å, c = 9.2670 Å
α = 95.62°, β = 74.40°, γ = 76.69°
Element x y z (fractional)
Hg: 0.4250 0.2570 0.9745
Hg: 0.3244 0.8421 0.7381
Hg: 0.0000 0.0000 0.0000
Hg: 0.0000 0.0000 0.5000
Hg: 0.5750 0.7430 0.0255
Hg: 0.6756 0.1579 0.2619
Te: 0.8876 0.2181 0.2423
Te: 0.1124 0.7819 0.7577
I: 0.5341 0.9151 0.7277
I: 0.3460 0.7147 0.1191
I: 0.1873 0.2886 0.0277
I: 0.5477 0.4345 0.6088
I: 0.4523 0.5655 0.3912
I: 0.8127 0.7114 0.9723
I: 0.9966 0.7461 0.3485
I: 0.6540 0.2853 0.8809
I: 0.4659 0.0849 0.2723
I: 0.0034 0.2539 0.6515

> Which value of ρ does entry 3 give?

8.9 Mg/m³

> Look up the total magnetization of the fifth one.

0.249 μB/atom

> Number 6 is which compound?

Hg3TeI5